Compound: ZnS2Br
Source: Alexandria
Functional: GGA-PBE
Structure: optimized geometry

a = 6.6768 Å, b = 6.6768 Å, c = 6.6768 Å
α = 90.00°, β = 90.00°, γ = 90.00°
Space group Fm-3m (No. 225)
One atom of each set of equivalent atoms:
Zn (0.0000, 0.0000, 0.0000)
S (0.2500, 0.2500, 0.2500)
Br (0.0000, 0.0000, 0.5000)

Output
For the energy above the most stable polymorph in this dataset, the calculation gives 802 meV/atom. As for the formation energy (no corrections): 0.744 eV/atom. Its total energy is -2.0565 eV/atom.

Compound: Zn3SBr
Source: Alexandria
Functional: GGA-PBE
Structure: optimized geometry

a = 4.9861 Å, b = 4.9861 Å, c = 4.9861 Å
α = 90.00°, β = 90.00°, γ = 90.00°
Space group Pm-3m (No. 221)
One atom of each set of equivalent atoms:
Zn (0.0000, 0.0000, 0.5000)
S (0.0000, 0.0000, 0.0000)
Br (0.5000, 0.5000, 0.5000)

Output
For the energy above the most stable polymorph in this dataset, the calculation gives 0 meV/atom. As for the formation energy (no corrections): 0.088 eV/atom. Its total energy is -1.8367 eV/atom.

Compound: ZnS2Br2
Source: Alexandria
Functional: GGA-PBE
Structure: optimized geometry

a = 5.6556 Å, b = 5.6556 Å, c = 8.4214 Å
α = 90.00°, β = 90.00°, γ = 90.00°
Space group I4/mmm (No. 139)
One atom of each set of equivalent atoms:
Zn (0.0000, 0.0000, 0.0000)
S (0.0000, 0.0000, 0.3899)
Br (0.0000, 0.5000, 0.2500)

Output
For the energy above the most stable polymorph in this dataset, the calculation gives 187 meV/atom. As for the formation energy (no corrections): 0.277 eV/atom. Its total energy is -2.2983 eV/atom.